Record 1
{"formula": "TlAs3I", "functional": "meta-GGA SCAN", "state": "PBEsol geometry", "lattice_angstrom": [[-4.108, -2.660, 2.203], [-0.213, -3.222, -4.288], [3.448, -3.369, 2.360]], "species": ["I", "Tl", "As", "As", "As"], "frac_coords": [[0.000, 0.000, 0.000], [0.500, 0.500, 0.500], [0.000, 0.500, 0.000], [0.000, 0.000, 0.500], [0.500, 0.000, 0.000]], "formation_energy_uncorrected_kj_per_mol_fu": 535, "sg": "Pm-3m, No. 221", "e_tot_ev_per_atom": -32.83, "vol_a3_per_atom": 30.9}

Record 2
{"formula": "BaCd2Bi2", "functional": "meta-GGA SCAN", "state": "PBEsol geometry", "lattice_angstrom": [[4.652, 0.000, 0.000], [0.000, 4.652, 0.000], [-2.326, -2.326, 7.266]], "species": ["Ba", "Bi", "Bi", "Cd", "Cd"], "frac_coords": [[0.000, 0.000, 0.000], [0.382, 0.382, 0.764], [0.618, 0.618, 0.236], [0.250, 0.750, 0.500], [0.750, 0.250, 0.500]], "sg": "I4/mmm, No. 139", "e_tot_ev_per_atom": -52.00, "vol_a3_per_atom": 31.4}

Record 3
{"formula": "SrMgTaW2", "functional": "meta-GGA SCAN", "state": "PBEsol geometry", "lattice_angstrom": [[4.811, 0.000, 0.000], [0.000, 4.811, 0.000], [0.000, 0.000, 5.386]], "species": ["Sr", "Mg", "W", "W", "Ta"], "frac_coords": [[0.500, 0.500, 0.500], [0.000, 0.000, 0.500], [0.000, 0.500, 0.000], [0.500, 0.000, 0.000], [0.000, 0.000, 0.000]], "sg": "P4/mmm, No. 123", "e_tot_ev_per_atom": -45.19, "vol_a3_per_atom": 24.9}

Record 4
{"formula": "Nb2InAs2", "functional": "meta-GGA SCAN", "state": "PBEsol geometry", "lattice_angstrom": [[-0.087, 0.670, 4.469], [3.268, -3.078, 0.525], [1.942, 4.872, -2.978]], "species": ["Nb", "Nb", "As", "As", "In"], "frac_coords": [[0.375, 0.375, 0.750], [0.625, 0.625, 0.250], [0.250, 0.750, 0.500], [0.750, 0.250, 0.500], [0.000, 0.000, 0.000]], "sg": "I4/mmm, No. 139", "e_tot_ev_per_atom": -27.91, "vol_a3_per_atom": 20.9}

Record 5
{"formula": "Zn3AgMo", "functional": "meta-GGA SCAN", "state": "PBEsol geometry", "lattice_angstrom": [[4.771, 0.000, 0.000], [0.000, 4.771, 0.000], [0.000, 0.000, 4.771]], "species": ["Mo", "Zn", "Zn", "Zn", "Ag"], "frac_coords": [[0.000, 0.000, 0.000], [0.000, 0.500, 0.000], [0.000, 0.000, 0.500], [0.500, 0.000, 0.000], [0.500, 0.500, 0.500]], "sg": "Pm-3m, No. 221", "e_tot_ev_per_atom": -20.20, "vol_a3_per_atom": 21.7}

Record 6
{"formula": "TmPO4", "functional": "meta-GGA SCAN", "state": "PBEsol geometry", "lattice_angstrom": [[-0.401, 5.608, -0.532], [-2.291, -2.268, 4.637], [5.523, -1.152, 0.265]], "species": ["Tm", "Tm", "P", "P", "O", "O", "O", "O", "O", "O", "O", "O"], "frac_coords": [[0.750, 0.250, 0.500], [0.500, 0.500, 0.000], [0.000, 0.000, 0.000], [0.250, 0.750, 0.500], [0.413, 0.736, 0.323], [0.986, 0.163, 0.823], [0.341, 0.163, 0.177], [0.413, 0.091, 0.677], [0.264, 0.587, 0.677], [0.837, 0.014, 0.177], [0.837, 0.659, 0.823], [0.909, 0.587, 0.323]], "formation_energy_uncorrected_kj_per_mol_fu": -1965, "sg": "I4_1/amd, No. 141", "e_tot_ev_per_atom": -17.92, "vol_a3_per_atom": 11.4}

Record 7
{"formula": "ScWSe2", "functional": "meta-GGA SCAN", "state": "PBEsol geometry", "lattice_angstrom": [[-1.337, 1.795, 2.245], [-1.258, -3.752, 2.250], [3.931, 0.058, 2.294]], "species": ["Sc", "Se", "Se", "W"], "frac_coords": [[0.500, 0.000, 0.000], [0.000, 0.000, 0.500], [0.000, 0.500, 0.000], [0.500, 0.500, 0.500]], "formation_energy_uncorrected_kj_per_mol_fu": -141, "sg": "P4/mmm, No. 123", "e_tot_ev_per_atom": -31.39, "vol_a3_per_atom": 16.4}

Record 8
{"formula": "Cr2CuMo", "functional": "meta-GGA SCAN", "state": "PBEsol geometry", "lattice_angstrom": [[-0.367, -2.097, -1.173], [0.620, -1.999, 3.380], [-5.018, 0.272, 1.082]], "species": ["Cr", "Cr", "Cu", "Mo"], "frac_coords": [[0.000, 0.000, 0.012], [0.500, 0.500, 0.246], [0.000, 0.000, 0.492], [0.500, 0.500, 0.750]], "polymorph_energy_ev_per_atom": 0.122, "sg": "Pmm2, No. 25", "e_tot_ev_per_atom": -21.35, "vol_a3_per_atom": 12.4}

Record 9
{"formula": "La3AgCl", "functional": "meta-GGA SCAN", "state": "PBEsol geometry", "lattice_angstrom": [[5.350, 0.000, 0.000], [0.000, 5.350, 0.000], [0.000, 0.000, 5.350]], "species": ["Cl", "Ag", "La", "La", "La"], "frac_coords": [[0.000, 0.000, 0.000], [0.500, 0.500, 0.500], [0.000, 0.500, 0.000], [0.000, 0.000, 0.500], [0.500, 0.000, 0.000]], "formation_energy_uncorrected_kj_per_mol_fu": -250, "sg": "Pm-3m, No. 221", "e_tot_ev_per_atom": -34.25, "vol_a3_per_atom": 30.6}

Record 10
{"formula": "Sr2CoRe", "functional": "meta-GGA SCAN", "state": "PBEsol geometry", "lattice_angstrom": [[3.176, 0.000, 0.000], [0.000, 3.334, 0.000], [0.000, 0.000, 9.102]], "species": ["Co", "Re", "Sr", "Sr"], "frac_coords": [[0.000, 0.000, 0.578], [0.500, 0.500, 0.666], [0.000, 0.000, 0.925], [0.500, 0.500, 0.330]], "polymorph_energy_ev_per_atom": 0.000, "sg": "Pmm2, No. 25", "e_tot_ev_per_atom": -32.58, "vol_a3_per_atom": 24.1}

Record 11
{"formula": "Al2Cu5Si", "functional": "meta-GGA SCAN", "state": "PBEsol geometry", "lattice_angstrom": [[-0.890, -3.532, -0.084], [3.814, -1.041, 3.372], [-6.500, 1.452, 7.800]], "species": ["Al", "Al", "Al", "Al", "Cu", "Cu", "Cu", "Cu", "Cu", "Cu", "Cu", "Cu", "Cu", "Cu", "Si", "Si"], "frac_coords": [[0.500, 0.274, 0.634], [0.500, 0.726, 0.366], [0.500, 0.226, 0.134], [0.500, 0.774, 0.866], [0.000, 0.000, 0.000], [0.000, 0.500, 0.500], [0.000, 0.512, 0.756], [0.000, 0.488, 0.244], [0.000, 0.988, 0.256], [0.000, 0.012, 0.744], [0.500, 0.265, 0.881], [0.500, 0.735, 0.119], [0.500, 0.235, 0.381], [0.500, 0.765, 0.619], [0.000, 0.000, 0.500], [0.000, 0.500, 0.000]], "polymorph_energy_ev_per_atom": 0.000, "formation_energy_uncorrected_kj_per_mol_fu": -133, "sg": "Pbam, No. 55", "e_tot_ev_per_atom": -12.86, "vol_a3_per_atom": 12.1}

Record 12
{"formula": "Sm2S3O12", "functional": "meta-GGA SCAN", "state": "PBEsol geometry", "lattice_angstrom": [[-0.792, 4.333, 4.904], [-6.303, -2.377, 1.083], [6.895, -7.919, 3.679]], "species": ["Sm", "Sm", "Sm", "Sm", "S", "S", "S", "S", "S", "S", "O", "O", "O", "O", "O", "O", "O", "O", "O", "O", "O", "O", "O", "O", "O", "O", "O", "O", "O", "O", "O", "O", "O", "O"], "frac_coords": [[0.727, 0.865, 0.736], [0.273, 0.135, 0.264], [0.991, 0.635, 0.264], [0.009, 0.365, 0.736], [0.503, 0.682, 0.367], [0.497, 0.318, 0.633], [0.135, 0.818, 0.633], [0.865, 0.182, 0.367], [0.832, 0.750, 0.000], [0.168, 0.250, 0.000], [0.341, 0.809, 0.304], [0.659, 0.191, 0.696], [0.036, 0.691, 0.696], [0.964, 0.309, 0.304], [0.630, 0.505, 0.647], [0.370, 0.495, 0.353], [0.983, 0.995, 0.353], [0.017, 0.005, 0.647], [0.362, 0.869, 0.705], [0.638, 0.131, 0.295], [0.657, 0.631, 0.295], [0.343, 0.369, 0.705], [0.606, 0.792, 0.505], [0.394, 0.208, 0.495], [0.102, 0.708, 0.495], [0.898, 0.292, 0.505], [0.909, 0.640, 0.888], [0.091, 0.360, 0.112], [0.022, 0.860, 0.112], [0.978, 0.140, 0.888], [0.685, 0.891, 0.949], [0.315, 0.109, 0.051], [0.736, 0.609, 0.051], [0.264, 0.391, 0.949]], "formation_energy_uncorrected_kj_per_mol_fu": -3964, "sg": "C2/c, No. 15", "e_tot_ev_per_atom": -13.74, "vol_a3_per_atom": 13.5}

- What is the formula in the ninth record?
  La3AgCl

- Number 4 is which compound?
  Nb2InAs2